# 1
VASP calculation (GGA-PBEsol) on a geometry-optimized LiAl2P structure.

a = 3.371 Å, b = 3.371 Å, c = 5.264 Å
α = 90.00°, β = 90.00°, γ = 90.00°
Element x y z (fractional)
Li 0.000 0.000 0.000
Al 0.500 0.500 0.259
Al 0.500 0.500 0.741
P 0.000 0.000 0.500

## Properties
Crystal system = tetragonal
Magnetic moment = 0.00 μB/atom
VASP energy = -0.299 Ry/atom

---

# 2
VASP calculation (GGA-PBEsol) on a geometry-optimized LiAl2P structure.

a = 4.718 Å, b = 4.718 Å, c = 4.829 Å
α = 102.12°, β = 102.12°, γ = 44.55°
Element x y z (fractional)
Li 0.000 0.000 0.000
Al 0.336 0.336 0.394
Al 0.639 0.639 0.569
P 0.724 0.724 0.087

## Properties
Crystal system = monoclinic
Magnetic moment = 0.00 μB/atom
VASP energy = -0.307 Ry/atom

---

# 3
VASP calculation (GGA-PBEsol) on a geometry-optimized LiAlPS2 structure.

a = 4.443 Å, b = 4.443 Å, c = 4.132 Å
α = 90.00°, β = 90.00°, γ = 90.00°
Element x y z (fractional)
Li 0.000 0.000 0.000
Al 0.500 0.500 0.500
P 0.000 0.000 0.500
S 0.000 0.500 0.000
S 0.500 0.000 0.000

## Properties
Crystal system = tetragonal
Magnetic moment = 0.00 μB/atom
Formation energy (no corrections) = 0.458 eV per atom